# 1
Zn2AgAs PBE optimized geometry; energy relative to the elements = 0.099 eV/atom; SG = No. 123
1.0
-3.490 1.346 -1.182
-0.664 -3.559 -2.092
-1.790 -1.661 3.395
As Ag Zn
1 1 2
Direct
0.500 0.000 0.500
0.500 0.500 0.000
0.000 0.500 0.500
0.000 0.000 0.000

***

# 2
Zn3AgAs PBE optimized geometry; energy relative to the elements = 0.477 eV/atom; SG = No. 221
1.0
4.896 0.000 0.000
0.000 4.896 0.000
0.000 0.000 4.896
Zn As Ag
3 1 1
Direct
0.000 0.500 0.000
0.000 0.000 0.500
0.500 0.000 0.000
0.000 0.000 0.000
0.500 0.500 0.500

***

# 3
ZnAg2As PBE optimized geometry; energy relative to the elements = 0.098 eV/atom; energy relative to the lowest polymorph listed for this composition = 0.026 eV/atom; SG = No. 10
1.0
3.961 0.000 0.000
0.000 3.025 0.012
0.000 3.018 5.881
Ag As Zn
2 1 1
Direct
0.000 0.007 0.990
0.000 0.493 0.510
0.500 0.250 0.250
0.500 0.750 0.750

***

# 4
ZnAg2As PBE optimized geometry; energy relative to the elements = 0.158 eV/atom; energy relative to the lowest polymorph listed for this composition = 0.086 eV/atom; SG = No. 216
1.0
4.670 0.000 0.000
2.335 4.044 0.000
2.335 1.348 3.813
As Ag Zn
1 2 1
Direct
0.500 0.500 0.500
0.750 0.750 0.750
0.000 0.000 0.000
0.250 0.250 0.250

***

# 5
ZnAg2As PBE optimized geometry; energy relative to the elements = 0.110 eV/atom; energy relative to the lowest polymorph listed for this composition = 0.038 eV/atom; SG = No. 35
1.0
-1.026 -0.212 2.695
-1.570 -2.206 -1.013
6.284 -5.377 1.971
Zn Ag As
1 2 1
Direct
0.500 0.500 0.760
0.000 0.000 0.986
0.500 0.500 0.242
0.000 0.000 0.512

***

# 6
Zn2AgAs PBE optimized geometry; energy relative to the elements = 0.082 eV/atom; SG = No. 6
1.0
-0.830 0.833 4.366
2.818 -0.999 0.727
0.464 5.296 -0.923
Ag Zn As
1 2 1
Direct
0.000 0.650 0.429
0.000 0.939 0.001
0.500 0.092 0.311
0.500 0.819 0.760

***

# 7
ZnAg2As PBE optimized geometry; energy relative to the elements = 0.132 eV/atom; energy relative to the lowest polymorph listed for this composition = 0.059 eV/atom; SG = No. 65
1.0
5.082 -0.107 0.000
-1.822 4.746 0.000
0.000 0.000 2.966
Ag As Zn
2 1 1
Direct
0.000 0.000 0.000
0.500 0.500 0.000
0.500 0.000 0.500
0.000 0.500 0.500

***

# 8
Zn2AgAs PBE optimized geometry; energy relative to the elements = 0.106 eV/atom; SG = No. 119
1.0
5.064 -0.029 -0.040
1.826 4.724 0.040
-3.425 -2.377 2.876
Zn As Ag
2 1 1
Direct
0.000 0.000 0.000
0.250 0.750 0.500
0.750 0.250 0.500
0.500 0.500 0.000